VASP calculation (SCAN) on Ni2PBr at its PBEsol-relaxed geometry.

The total moment is 0.0 μB/cell. The uncorrected formation energy is -0.266 eV/atom.

a = 3.5834 Å, b = 3.6169 Å, c = 5.7574 Å
α = 97.43°, β = 90.00°, γ = 119.69°
With the nearest neighbours (Å) after each atom.
Sites, in units of the cell vectors:
P: 0.5511 0.1023 0.2470  6 Ni 2.17-2.24
Ni: 0.2392 0.4783 0.3902  3 P 2.24
Ni: 0.8698 0.7397 0.1337  3 P 2.17-2.20, 1 Br 2.31
Br: 0.8399 0.6797 0.7291  1 Ni 2.31

VASP calculation (SCAN) on Mn2FeSi at its PBEsol-relaxed geometry.

The total moment is 2.0 μB/cell. The uncorrected formation energy is -0.340 eV/atom.

a = 2.8072 Å, b = 3.8519 Å, c = 3.9151 Å
α = 90.00°, β = 90.00°, γ = 90.00°
With the nearest neighbours (Å) after each atom.
Sites, in units of the cell vectors:
Fe: 0.0000 0.5000 0.5000  4 Si 2.38, 4 Mn 2.41
Si: 0.5000 0.0000 0.5000  4 Fe 2.38, 4 Mn 2.41
Mn: 0.0000 0.0000 0.0000  4 Mn 2.38, 4 Si 2.41
Mn: 0.5000 0.5000 0.0000  4 Mn 2.38, 4 Fe 2.41

VASP calculation (SCAN) on NbTlRu3 at its PBEsol-relaxed geometry.

The value obtained for the calculated formation energy is 1.55 eV per atom. The total moment is 2.6 μB/cell.

a = 4.6790 Å, b = 4.6790 Å, c = 4.6790 Å
α = 90.00°, β = 90.00°, γ = 90.00°
With the nearest neighbours (Å) after each atom.
Sites, in units of the cell vectors:
Ru: 0.5000 0.0000 0.0000  2 Nb 2.34
Nb: 0.0000 0.0000 0.0000  6 Ru 2.34
Ru: 0.0000 0.5000 0.0000  2 Nb 2.34
Tl: 0.5000 0.5000 0.5000  12 Ru 3.31
Ru: 0.0000 0.0000 0.5000  2 Nb 2.34

VASP calculation (SCAN) on MgReAg2C at its PBEsol-relaxed geometry.

The value obtained for the calculated formation energy is 2.21 eV per atom. The total moment is 3.0 μB/cell.

a = 3.8960 Å, b = 4.7114 Å, c = 4.7114 Å
α = 90.00°, β = 90.00°, γ = 90.00°
With the nearest neighbours (Å) after each atom.
Sites, in units of the cell vectors:
C: 0.5000 0.0000 0.0000  2 Mg 1.95
Ag: 0.0000 0.0000 0.5000  2 Mg 2.36
Re: 0.5000 0.5000 0.5000  8 Ag 3.06, 4 C 3.33
Mg: 0.0000 0.0000 0.0000  2 C 1.95
Ag: 0.0000 0.5000 0.0000  2 Mg 2.36

VASP calculation (SCAN) on RbIn3S5 at its PBEsol-relaxed geometry.

The total moment is 0.0 μB/cell. The uncorrected formation energy is -0.894 eV/atom.

a = 3.7696 Å, b = 12.2918 Å, c = 15.3095 Å
α = 112.41°, β = 90.00°, γ = 90.00°
With the nearest neighbours (Å) after each atom.
Sites, in units of the cell vectors:
In: 0.5000 0.8241 0.8343  6 S 2.57-2.63
S: 0.5000 0.7663 0.1064  3 In 2.49-2.56
In: 0.5000 0.1759 0.1657  6 S 2.57-2.63
Rb: 0.0000 0.5000 0.0000  10 S 3.56-3.69, 2 Rb 3.77
S: 0.0000 0.1221 0.6259  2 In 2.45
Rb: 0.5000 0.8625 0.5741  9 S 3.39-3.66, 2 Rb 3.77
In: 0.5000 0.2210 0.7271  4 S 2.45-2.50
S: 0.5000 0.5594 0.2101  3 In 2.50-2.58
S: 0.5000 0.6424 0.6786  4 In 2.57-2.63
S: 0.5000 0.3576 0.3214  4 In 2.57-2.63
S: 0.0000 0.3798 0.5411  3 In 2.54-2.62
S: 0.0000 0.9327 0.7810  3 In 2.53-2.61
S: 0.5000 0.0000 0.0000  6 In 2.63-2.82
S: 0.5000 0.2337 0.8936  3 In 2.49-2.56
S: 0.0000 0.0673 0.2190  3 In 2.53-2.61
In: 0.0000 0.1168 0.9301  6 S 2.53-2.82
S: 0.0000 0.6202 0.4589  3 In 2.54-2.62
S: 0.0000 0.8779 0.3741  2 In 2.45
In: 0.5000 0.7790 0.2729  4 S 2.45-2.50
In: 0.0000 0.4822 0.2864  5 S 2.54-2.61
Rb: 0.5000 0.1375 0.4259  9 S 3.39-3.66, 2 Rb 3.77
S: 0.0000 0.7279 0.8978  3 In 2.60
S: 0.0000 0.2721 0.1022  3 In 2.60
In: 0.5000 0.5000 0.5000  6 S 2.62-2.63
In: 0.0000 0.5178 0.7136  5 S 2.54-2.61
In: 0.0000 0.8832 0.0699  6 S 2.53-2.82
S: 0.5000 0.4406 0.7899  3 In 2.50-2.58

VASP calculation (SCAN) on Hf2TlCo at its PBEsol-relaxed geometry.

The value obtained for the calculated formation energy is -0.09 eV per atom. The total moment is 2.0 μB/cell.

a = 4.7092 Å, b = 4.7092 Å, c = 4.7092 Å
α = 60.00°, β = 60.00°, γ = 60.00°
With the nearest neighbours (Å) after each atom.
Sites, in units of the cell vectors:
Co: 0.0000 0.0000 0.0000  8 Hf 2.88
Tl: 0.5000 0.5000 0.5000  8 Hf 2.88
Hf: 0.2500 0.2500 0.2500  4 Tl 2.88, 4 Co 2.88
Hf: 0.7500 0.7500 0.7500  4 Co 2.88, 4 Tl 2.88

VASP calculation (SCAN) on SrCo2Te at its PBEsol-relaxed geometry.

The total moment is 3.8 μB/cell. The uncorrected formation energy is 0.441 eV/atom.

a = 4.8021 Å, b = 4.8021 Å, c = 4.8021 Å
α = 60.00°, β = 60.00°, γ = 60.00°
With the nearest neighbours (Å) after each atom.
Sites, in units of the cell vectors:
Co: 0.7500 0.7500 0.7500  4 Co 2.94, 4 Sr 2.94
Co: 0.0000 0.0000 0.0000  4 Co 2.94, 4 Te 2.94
Sr: 0.5000 0.5000 0.5000  4 Co 2.94, 4 Te 2.94
Te: 0.2500 0.2500 0.2500  4 Co 2.94, 4 Sr 2.94

VASP calculation (SCAN) on YTaSb2 at its PBEsol-relaxed geometry.

The total moment is 0.7 μB/cell. The uncorrected formation energy is -0.332 eV/atom.

a = 3.4573 Å, b = 3.4573 Å, c = 7.4139 Å
α = 90.00°, β = 90.00°, γ = 90.00°
With the nearest neighbours (Å) after each atom.
Sites, in units of the cell vectors:
Sb: 0.0000 0.0000 0.7820  4 Ta 2.93, 4 Y 3.22, 1 Sb 3.23
Ta: 0.5000 0.5000 0.0000  8 Sb 2.93
Y: 0.5000 0.5000 0.5000  8 Sb 3.22, 4 Y 3.46
Sb: 0.0000 0.0000 0.2180  4 Ta 2.93, 4 Y 3.22, 1 Sb 3.23

VASP calculation (SCAN) on CrCu2Cl at its PBEsol-relaxed geometry.

The total moment is 4.1 μB/cell. The uncorrected formation energy is 0.204 eV/atom.

a = 2.9114 Å, b = 3.9673 Å, c = 5.5659 Å
α = 110.93°, β = 105.23°, γ = 89.82°
With the nearest neighbours (Å) after each atom.
Sites, in units of the cell vectors:
Cl: 0.0000 0.5000 0.0000  4 Cr 2.46
Cr: 0.5000 0.0000 0.0000  4 Cl 2.46
Cu: 0.0000 0.5000 0.5000  4 Cu 2.46
Cu: 0.5000 0.0000 0.5000  4 Cu 2.46

VASP calculation (SCAN) on Ta2HgTe at its PBEsol-relaxed geometry.

The total moment is 0.0 μB/cell. The uncorrected formation energy is 0.736 eV/atom.

a = 4.8400 Å, b = 4.8400 Å, c = 4.8400 Å
α = 60.00°, β = 60.00°, γ = 60.00°
With the nearest neighbours (Å) after each atom.
Sites, in units of the cell vectors:
Te: 0.2500 0.2500 0.2500  4 Ta 2.96, 4 Hg 2.96
Hg: 0.5000 0.5000 0.5000  4 Te 2.96, 4 Ta 2.96
Ta: 0.7500 0.7500 0.7500  4 Hg 2.96, 4 Ta 2.96
Ta: 0.0000 0.0000 0.0000  4 Ta 2.96, 4 Te 2.96

VASP calculation (SCAN) on BaRu2Pt at its PBEsol-relaxed geometry.

The value obtained for the calculated formation energy is 0.08 eV per atom. The total moment is 0.0 μB/cell.

a = 4.3878 Å, b = 4.4113 Å, c = 6.1271 Å
α = 110.78°, β = 90.00°, γ = 119.82°
With the nearest neighbours (Å) after each atom.
Sites, in units of the cell vectors:
Pt: 0.0000 0.0000 0.5000  6 Ru 2.56
Ru: 0.6852 0.3704 0.5523  3 Pt 2.56, 3 Ru 2.59-2.64
Ba: 0.5000 0.0000 0.0000  2 Ru 3.09
Ru: 0.3148 0.6296 0.4477  3 Pt 2.56, 3 Ru 2.59-2.64

VASP calculation (SCAN) on TcTe2W at its PBEsol-relaxed geometry.

The total moment is 1.1 μB/cell. The uncorrected formation energy is 1.219 eV/atom.

a = 4.7545 Å, b = 4.7545 Å, c = 4.7545 Å
α = 60.00°, β = 60.00°, γ = 60.00°
With the nearest neighbours (Å) after each atom.
Sites, in units of the cell vectors:
Te: 0.0000 0.0000 0.0000  4 W 2.91, 4 Te 2.91
W: 0.2500 0.2500 0.2500  4 Tc 2.91, 4 Te 2.91
Te: 0.7500 0.7500 0.7500  4 Tc 2.91, 4 Te 2.91
Tc: 0.5000 0.5000 0.5000  4 W 2.91, 4 Te 2.91

Copy entry 9 word for word.
VASP calculation (SCAN) on CrCu2Cl at its PBEsol-relaxed geometry.

The total moment is 4.1 μB/cell. The uncorrected formation energy is 0.204 eV/atom.

a = 2.9114 Å, b = 3.9673 Å, c = 5.5659 Å
α = 110.93°, β = 105.23°, γ = 89.82°
With the nearest neighbours (Å) after each atom.
Sites, in units of the cell vectors:
Cl: 0.0000 0.5000 0.0000  4 Cr 2.46
Cr: 0.5000 0.0000 0.0000  4 Cl 2.46
Cu: 0.0000 0.5000 0.5000  4 Cu 2.46
Cu: 0.5000 0.0000 0.5000  4 Cu 2.46

Question: Which formula does entry 8 have?
Answer: YTaSb2

Question: Which value of total moment does entry 11 give?
Answer: 0.0 μB/cell

What did the tenth record say?
VASP calculation (SCAN) on Ta2HgTe at its PBEsol-relaxed geometry.

The total moment is 0.0 μB/cell. The uncorrected formation energy is 0.736 eV/atom.

a = 4.8400 Å, b = 4.8400 Å, c = 4.8400 Å
α = 60.00°, β = 60.00°, γ = 60.00°
With the nearest neighbours (Å) after each atom.
Sites, in units of the cell vectors:
Te: 0.2500 0.2500 0.2500  4 Ta 2.96, 4 Hg 2.96
Hg: 0.5000 0.5000 0.5000  4 Te 2.96, 4 Ta 2.96
Ta: 0.7500 0.7500 0.7500  4 Hg 2.96, 4 Ta 2.96
Ta: 0.0000 0.0000 0.0000  4 Ta 2.96, 4 Te 2.96